ZnInGa, optimized geometry, DFT PBE; M_tot = 0.00 μB/cell; mass density = 6.59 g cm⁻³; E_form = 0.198 eV/f.u.; space group = P1, No. 1; calculated volume = 21.00 A^3/atom
1.0
3.313 0.000 0.000
1.628 4.270 0.000
1.424 1.107 8.905
Zn In Ga
2 2 2
Direct
0.000 0.000 0.000
0.330 0.090 0.260
0.176 0.035 0.660
0.977 0.624 0.437
0.344 0.456 0.862
0.663 0.544 0.133

=====

KMn2TlI6, optimized geometry, DFT PBE; M_tot = 20.00 μB/cell; mass density = 4.15 g cm⁻³; uncorrected formation energy = -665 meV/atom; space group = C2/c, No. 15; calculated volume = 44.62 A^3/atom
1.0
8.224 -7.206 0.000
8.224 7.206 0.000
-2.051 0.000 7.529
K Mn Tl I
2 4 2 12
Direct
0.113 0.887 0.750
0.887 0.113 0.250
0.201 0.355 0.721
0.355 0.201 0.221
0.645 0.799 0.779
0.799 0.645 0.279
0.478 0.522 0.250
0.522 0.478 0.750
0.011 0.223 0.695
0.220 0.406 0.390
0.221 0.585 0.919
0.223 0.011 0.195
0.406 0.220 0.890
0.415 0.779 0.581
0.585 0.221 0.419
0.594 0.780 0.110
0.777 0.989 0.805
0.779 0.415 0.081
0.780 0.594 0.610
0.989 0.777 0.305

=====

Sr2CuRh, optimized geometry, DFT PBE; M_tot = 0.00 μB/cell; mass density = 4.49 g cm⁻³; E_form = -0.897 eV/f.u.; space group = Cm, No. 8; calculated volume = 31.57 A^3/atom
1.0
7.495 0.000 0.000
0.000 4.327 0.000
-2.510 0.000 7.788
Sr Cu Rh
4 2 2
Direct
0.000 0.000 0.000
0.168 0.000 0.502
0.500 0.500 0.000
0.668 0.500 0.502
0.417 0.000 0.251
0.917 0.500 0.251
0.251 0.500 0.252
0.751 0.000 0.252

=====

PmNiAs, optimized geometry, DFT PBE; M_tot = 0.00 μB/cell; mass density = 7.22 g cm⁻³; distance to the lowest polymorph of the same formula = 173 kJ/mol of formula units; E_form = -1.327 eV/f.u.; space group = I4mm, No. 107; calculated volume = 21.36 A^3/atom
1.0
3.979 0.000 0.000
0.000 3.979 0.000
0.000 0.000 8.095
Pm Ni As
2 2 2
Direct
0.000 0.000 0.000
0.500 0.500 0.500
0.000 0.000 0.636
0.500 0.500 0.136
0.000 0.000 0.351
0.500 0.500 0.851

=====

ScCuSbI2, optimized geometry, DFT PBE; M_tot = 0.00 μB/cell; mass density = 4.44 g cm⁻³; uncorrected formation energy = 155 meV/atom; distance to the lowest polymorph of the same formula = 0 kJ/mol of formula units; space group = P4/mmm, No. 123; calculated volume = 36.23 A^3/atom
1.0
5.572 0.000 0.000
0.000 5.572 0.000
0.000 0.000 5.835
Sc Cu Sb I
1 1 1 2
Direct
0.000 0.000 0.000
0.500 0.500 0.500
0.000 0.000 0.500
0.000 0.500 0.000
0.500 0.000 0.000

=====

NbZn2Au, optimized geometry, DFT PBE; M_tot = 0.00 μB/cell; mass density = 9.92 g cm⁻³; E_form = 1.008 eV/f.u.; space group = R-3m, No. 166; calculated volume = 17.60 A^3/atom
1.0
2.839 0.000 0.000
-1.420 2.459 0.000
0.000 0.000 30.247
Nb Zn Au
3 6 3
Direct
0.000 0.000 0.000
0.333 0.667 0.667
0.667 0.333 0.333
0.000 0.000 0.091
0.000 0.000 0.909
0.333 0.667 0.576
0.333 0.667 0.757
0.667 0.333 0.243
0.667 0.333 0.424
0.000 0.000 0.500
0.333 0.667 0.167
0.667 0.333 0.833

=====

Tb6NpSe8, optimized geometry, DFT PBE; M_tot = 5.11 μB/cell; mass density = 7.85 g cm⁻³; uncorrected formation energy = -1724 meV/atom; space group = Fm-3m, No. 225; calculated volume = 25.71 A^3/atom
1.0
0.000 5.777 5.777
5.777 0.000 5.777
5.777 5.777 0.000
Tb Np Se
6 1 8
Direct
0.000 0.000 0.500
0.000 0.500 0.000
0.000 0.500 0.500
0.500 0.000 0.000
0.500 0.000 0.500
0.500 0.500 0.000
0.000 0.000 0.000
0.250 0.250 0.250
0.255 0.255 0.745
0.255 0.745 0.255
0.255 0.745 0.745
0.745 0.255 0.255
0.745 0.255 0.745
0.745 0.745 0.255
0.750 0.750 0.750

=====

SiMoRu2, optimized geometry, DFT PBE; M_tot = 0.00 μB/cell; mass density = 9.72 g cm⁻³; uncorrected formation energy = -247 meV/atom; space group = Imm2, No. 44; calculated volume = 13.93 A^3/atom
1.0
2.928 0.000 0.000
0.000 4.349 0.000
0.000 0.000 8.750
Si Mo Ru
2 2 4
Direct
0.000 0.000 0.000
0.500 0.500 0.500
0.000 0.500 0.261
0.500 0.000 0.761
0.000 0.000 0.495
0.000 0.500 0.718
0.500 0.000 0.218
0.500 0.500 0.995

=====

SrIn3Re, optimized geometry, DFT PBE; M_tot = 0.00 μB/cell; mass density = 7.09 g cm⁻³; distance to the lowest polymorph of the same formula = 0 kJ/mol of formula units; E_form = 0.249 eV/f.u.; space group = Pm-3m, No. 221; calculated volume = 28.96 A^3/atom
1.0
5.251 0.000 0.000
0.000 5.251 0.000
0.000 0.000 5.251
Sr In Re
1 3 1
Direct
0.000 0.000 0.000
0.000 0.500 0.500
0.500 0.000 0.500
0.500 0.500 0.000
0.500 0.500 0.500

=====

B5C7, optimized geometry, DFT PBE; M_tot = 0.00 μB/cell; mass density = 2.86 g cm⁻³; distance to the lowest polymorph of the same formula = 96 kJ/mol of formula units; E_form = 4.094 eV/f.u.; space group = Cm, No. 8; calculated volume = 6.68 A^3/atom
1.0
4.419 -1.300 0.000
4.419 1.300 0.000
-3.304 0.000 6.978
B C
5 7
Direct
0.000 0.000 0.000
0.199 0.199 0.738
0.236 0.236 0.289
0.531 0.531 0.405
0.867 0.867 0.570
0.038 0.038 0.544
0.358 0.358 0.187
0.375 0.375 0.718
0.533 0.533 0.902
0.696 0.696 0.882
0.698 0.698 0.368
0.856 0.856 0.076

=====

ZrTaTi2N, optimized geometry, DFT PBE; M_tot = 0.00 μB/cell; mass density = 8.07 g cm⁻³; uncorrected formation energy = -644 meV/atom; distance to the lowest polymorph of the same formula = 12 kJ/mol of formula units; space group = P4/mmm, No. 123; calculated volume = 15.71 A^3/atom
1.0
4.244 0.000 0.000
0.000 4.244 0.000
0.000 0.000 4.362
Zr Ta Ti N
1 1 2 1
Direct
0.000 0.000 0.000
0.500 0.500 0.000
0.000 0.500 0.500
0.500 0.000 0.500
0.500 0.500 0.500

=====

Ho2AlIr, optimized geometry, DFT PBE; M_tot = 0.00 μB/cell; mass density = 7.42 g cm⁻³; E_form = -0.420 eV/f.u.; space group = R-3m, No. 166; calculated volume = 30.74 A^3/atom
1.0
3.892 0.000 0.000
-1.946 3.371 0.000
0.000 0.000 28.108
Ho Al Ir
6 3 3
Direct
0.000 0.000 0.112
0.000 0.000 0.888
0.333 0.667 0.555
0.333 0.667 0.779
0.667 0.333 0.221
0.667 0.333 0.445
0.000 0.000 0.000
0.333 0.667 0.667
0.667 0.333 0.333
0.000 0.000 0.500
0.333 0.667 0.167
0.667 0.333 0.833

=====

CePuThAu, optimized geometry, DFT PBE; M_tot = 28.89 μB/cell; mass density = 13.58 g cm⁻³; E_form = -0.560 eV/f.u.; space group = F-43m, No. 216; calculated volume = 24.85 A^3/atom
1.0
7.353 0.000 0.000
0.000 7.353 0.000
0.000 0.000 7.353
Ce Pu Th Au
4 4 4 4
Direct
0.000 0.000 0.000
0.000 0.500 0.500
0.500 0.000 0.500
0.500 0.500 0.000
0.250 0.250 0.750
0.250 0.750 0.250
0.750 0.250 0.250
0.750 0.750 0.750
0.250 0.250 0.250
0.250 0.750 0.750
0.750 0.250 0.750
0.750 0.750 0.250
0.000 0.000 0.500
0.000 0.500 0.000
0.500 0.000 0.000
0.500 0.500 0.500

=====

BeSb2Te, optimized geometry, DFT PBE; M_tot = 0.00 μB/cell; mass density = 5.98 g cm⁻³; uncorrected formation energy = 331 meV/atom; distance to the lowest polymorph of the same formula = 93 kJ/mol of formula units; space group = C2/m, No. 12; calculated volume = 26.39 A^3/atom
1.0
11.111 0.000 0.000
0.000 3.953 0.000
-2.732 0.000 4.807
Be Sb Te
2 4 2
Direct
0.000 0.000 0.000
0.500 0.500 0.000
0.160 0.500 0.159
0.340 0.000 0.841
0.660 0.000 0.159
0.840 0.500 0.841
0.000 0.500 0.500
0.500 0.000 0.500

=====

GdDyHoSn, optimized geometry, DFT PBE; M_tot = 31.90 μB/cell; mass density = 8.94 g cm⁻³; E_form = -1.019 eV/f.u.; space group = F-43m, No. 216; calculated volume = 28.01 A^3/atom
1.0
7.653 0.000 0.000
0.000 7.653 0.000
0.000 0.000 7.653
Gd Dy Ho Sn
4 4 4 4
Direct
0.000 0.000 0.000
0.000 0.500 0.500
0.500 0.000 0.500
0.500 0.500 0.000
0.000 0.000 0.500
0.000 0.500 0.000
0.500 0.000 0.000
0.500 0.500 0.500
0.250 0.250 0.750
0.250 0.750 0.250
0.750 0.250 0.250
0.750 0.750 0.750
0.250 0.250 0.250
0.250 0.750 0.750
0.750 0.250 0.750
0.750 0.750 0.250

=====

Ce2Dy2Sb5, optimized geometry, DFT PBE; M_tot = 0.10 μB/cell; mass density = 7.67 g cm⁻³; uncorrected formation energy = -902 meV/atom; space group = Cmce, No. 64; calculated volume = 29.19 A^3/atom
1.0
7.791 -4.100 0.000
7.791 4.100 0.000
0.000 0.000 8.226
Ce Dy Sb
4 4 10
Direct
0.192 0.192 0.000
0.308 0.308 0.500
0.692 0.692 0.500
0.808 0.808 0.000
0.153 0.847 0.655
0.347 0.653 0.155
0.653 0.347 0.845
0.847 0.153 0.345
0.000 0.000 0.000
0.014 0.710 0.350
0.210 0.514 0.850
0.290 0.986 0.350
0.486 0.790 0.850
0.500 0.500 0.500
0.514 0.210 0.150
0.710 0.014 0.650
0.790 0.486 0.150
0.986 0.290 0.650

=====

K2PaCuO4, optimized geometry, DFT PBE; M_tot = 0.00 μB/cell; mass density = 5.03 g cm⁻³; uncorrected formation energy = -1997 meV/atom; space group = I-4, No. 82; calculated volume = 18.04 A^3/atom
1.0
6.125 0.000 0.000
0.000 6.125 0.000
0.000 0.000 7.694
K Pa Cu O
4 2 2 8
Direct
0.000 0.000 0.000
0.000 0.500 0.250
0.500 0.000 0.750
0.500 0.500 0.500
0.000 0.000 0.500
0.500 0.500 0.000
0.000 0.500 0.750
0.500 0.000 0.250
0.169 0.764 0.640
0.236 0.169 0.360
0.264 0.331 0.860
0.331 0.736 0.140
0.669 0.264 0.140
0.736 0.669 0.860
0.764 0.831 0.360
0.831 0.236 0.640

=====

SrAgSn3, optimized geometry, DFT PBE; M_tot = 0.00 μB/cell; mass density = 5.65 g cm⁻³; E_form = 0.106 eV/f.u.; space group = Pm-3m, No. 221; calculated volume = 32.45 A^3/atom
1.0
5.454 0.000 0.000
0.000 5.454 0.000
0.000 0.000 5.454
Sr Ag Sn
1 1 3
Direct
0.000 0.000 0.000
0.500 0.500 0.500
0.000 0.500 0.500
0.500 0.000 0.500
0.500 0.500 0.000

=====

Cu2MoIr, optimized geometry, DFT PBE; M_tot = 0.00 μB/cell; mass density = 12.52 g cm⁻³; distance to the lowest polymorph of the same formula = 21 kJ/mol of formula units; E_form = 0.351 eV/f.u.; space group = Cm, No. 8; calculated volume = 13.77 A^3/atom
1.0
8.849 0.000 0.000
0.000 2.756 0.000
-0.890 0.000 4.515
Cu Mo Ir
4 2 2
Direct
0.000 0.000 0.000
0.246 0.500 0.204
0.500 0.500 0.000
0.746 0.000 0.204
0.244 0.000 0.707
0.744 0.500 0.707
0.491 0.000 0.494
0.991 0.500 0.494

=====

HgTeBr2, optimized geometry, DFT PBE; M_tot = 0.00 μB/cell; mass density = 5.35 g cm⁻³; uncorrected formation energy = -210 meV/atom; distance to the lowest polymorph of the same formula = 0 kJ/mol of formula units; space group = Pm, No. 6; calculated volume = 37.84 A^3/atom
1.0
5.334 0.000 0.000
0.000 4.799 0.000
-2.544 0.000 5.913
Hg Te Br
1 1 2
Direct
0.000 0.000 0.000
0.210 0.500 0.245
0.459 0.000 0.769
0.809 0.500 0.380